LiTb2CeSe5 | PBE-GGA | optimized geometry

Lattice parameters (Å, degrees): 8.8071 8.8071 12.4886 90.00 90.00 153.11
Closest atoms and distances in Å follow each position.
Atoms (fractional coordinates):
Li: 0.0135 0.9865 0.5000  4 Se 2.43-2.56
Li: 0.9865 0.0135 0.0000  4 Se 2.43-2.56
Tb: 0.3770 0.6230 0.3124  6 Se 2.95-3.24
Tb: 0.3902 0.6098 0.7034  8 Se 2.94-3.10
Tb: 0.6098 0.3902 0.2034  8 Se 2.94-3.10
Tb: 0.6230 0.3770 0.8124  6 Se 2.95-3.24
Ce: 0.3040 0.6960 0.0193  6 Se 2.79-2.93
Ce: 0.6960 0.3040 0.5193  6 Se 2.79-2.93
Se: 0.0005 0.9995 0.3041  1 Li 2.46
Se: 0.1351 0.8649 0.0201  1 Li 2.56
Se: 0.1902 0.8098 0.3527  2 Ce 2.92, 3 Tb 3.09-3.24
Se: 0.2104 0.7896 0.6863  2 Ce 2.93, 3 Tb 2.99-3.09
Se: 0.4566 0.5434 0.0968  2 Li 2.43
Se: 0.5434 0.4566 0.5968  2 Li 2.43
Se: 0.7896 0.2104 0.1863  2 Ce 2.93, 3 Tb 2.99-3.09
Se: 0.8098 0.1902 0.8527  2 Ce 2.92, 3 Tb 3.09-3.24
Se: 0.8649 0.1351 0.5201  1 Li 2.56
Se: 0.9995 0.0005 0.8041  1 Li 2.46

Values from the calculation:
N(E_F): 12.33 states/eV/cell
Formation energy from raw total energies: -1.65 eV per atom
Space group: No. 36
Raw total energy: -49.42 eV per formula unit